No. 1
Tb5Pm3Tl2: relaxed, PBE-GGA.

The structure in extended XYZ format:
```
20
Lattice="-1.069 5.585 -3.175 -3.283 -2.404 -9.802 -9.490 3.686 2.998" Properties=species:S:1:pos:R:3 pbc="T T T"
Tb -6.654 2.037 -4.196
Tb -6.541 4.943 -2.462
Tb -10.077 3.767 -6.679
Tb -7.188 4.829 -5.783
Tb -7.301 1.924 -7.517
Tb -9.866 6.709 -4.915
Tb -4.298 5.892 -4.888
Tb -3.764 3.099 -3.300
Tb -9.543 0.975 -5.092
Tb -3.975 0.157 -5.064
Pm -6.618 2.748 0.381
Pm -7.224 4.119 -10.360
Pm -0.801 4.188 -2.381
Pm -9.939 4.515 -2.071
Pm -0.267 1.396 -0.794
Pm -3.902 2.351 -7.908
Tl -2.614 -0.939 -7.450
Tl -7.548 6.169 0.034
Tl -11.227 7.806 -2.529
Tl -6.294 0.697 -10.013
```

Computed properties:
Energy of formation: 0.09 eV/atom
Mass density: 8.3 Mg/m³
Uncorrected energy: -4.124 eV per atom

***

No. 2
Tb2PmTl3: relaxed, PBE-GGA.

The structure in extended XYZ format:
```
6
Lattice="-2.809 -2.246 -1.225 2.514 -2.086 -1.941 1.462 -6.912 9.321" Properties=species:S:1:pos:R:3 pbc="T T T"
Tl 0.477 -2.257 3.044
Tl 0.985 -4.654 6.277
Tl 0.000 0.000 0.000
Tb 1.075 -7.947 6.214
Tb 0.091 -3.296 -0.058
Pm 0.583 -5.622 3.078
```

Computed properties:
Energy of formation: -0.37 eV/atom
Mass density: 10.6 Mg/m³
Uncorrected energy: -3.888 eV per atom

***

No. 3
TbPm3Tl: relaxed, PBE-GGA.

The structure in extended XYZ format:
```
10
Lattice="-2.007 -3.181 4.148 -1.963 -6.171 -1.903 7.170 -7.005 1.877" Properties=species:S:1:pos:R:3 pbc="T T T"
Tl 3.940 -10.599 5.117
Tl -0.740 -5.758 -0.995
Pm -1.014 -3.031 0.964
Pm 0.140 -5.372 3.507
Pm 1.272 -11.112 3.432
Pm 4.214 -13.326 3.158
Pm 3.061 -10.985 0.615
Pm 1.929 -5.245 0.690
Tb 0.163 -8.493 1.125
Tb 3.037 -7.864 2.998
```

Computed properties:
Energy of formation: -0.10 eV/atom
Energy above the lowest structure with this stoichiometry: 32.5 meV/atom
Mass density: 8.2 Mg/m³
Uncorrected energy: -4.349 eV per atom

***

No. 4
TbPmTl6: relaxed, PBE-GGA.

The structure in extended XYZ format:
```
8
Lattice="-0.309 -4.481 -1.685 4.647 0.125 -1.184 2.300 -3.417 8.662" Properties=species:S:1:pos:R:3 pbc="T T T"
Tl 4.042 -2.492 5.883
Tl 0.426 -3.103 1.345
Tl 2.169 -2.178 -1.435
Tl 1.564 -4.794 5.632
Tl 2.904 -0.800 1.595
Tl 3.319 -3.886 2.896
Tb 1.150 -1.708 4.331
Pm 0.000 0.000 0.000
```

Computed properties:
Energy of formation: -0.28 eV/atom
Mass density: 11.5 Mg/m³
Uncorrected energy: -3.227 eV per atom

***

No. 5
Tb5Pm2Tl: relaxed, PBE-GGA.

The structure in extended XYZ format:
```
8
Lattice="-1.143 -2.934 -6.304 3.080 -5.941 2.206 -5.427 2.723 3.655" Properties=species:S:1:pos:R:3 pbc="T T T"
Tb -3.731 -3.841 0.494
Tb -5.260 -0.865 -0.613
Tb -4.686 0.600 2.538
Tb -3.158 -2.375 3.649
Tb -1.011 -5.199 -1.336
Pm -2.549 -2.234 -2.435
Pm -0.445 -3.723 1.812
Tl -1.984 -0.760 0.714
```

Computed properties:
Energy of formation: -0.04 eV/atom
Energy above the lowest structure with this stoichiometry: 7.0 meV/atom
Mass density: 8.6 Mg/m³
Uncorrected energy: -4.418 eV per atom

***

No. 6
Tb3Pm7Tl2: relaxed, PBE-GGA.

The structure in extended XYZ format:
```
12
Lattice="-1.710 1.847 -2.661 -5.051 -1.555 2.168 1.017 15.679 10.229" Properties=species:S:1:pos:R:3 pbc="T T T"
Tl -4.092 4.469 3.211
Tl -1.653 11.502 6.525
Pm -1.613 8.943 4.724
Pm -4.131 7.028 5.013
Pm -1.527 3.367 0.798
Pm -4.217 12.604 8.939
Pm 0.000 0.000 0.000
Pm -0.825 12.804 9.418
Pm -3.209 1.319 2.979
Tb -0.736 5.342 4.181
Tb -3.298 8.782 8.216
Tb -3.381 0.146 -0.246
```

Computed properties:
Energy of formation: -0.01 eV/atom
Mass density: 8.1 Mg/m³
Uncorrected energy: -4.336 eV per atom

***

Question: Which of these has the lowest uncorrected energy?
Answer: Tb5Pm2Tl